#w
DFT (PBE-GGA) results for crystalline Pr6CoAg at its relaxed geometry.

Cell lengths 9.672, 9.672, 8.486 Å; angles 110.67, 106.91, 115.79 degrees
Fractional coordinates of all 16 atoms:
Pr  0.267  0.410  0.677
Pr  0.111  0.685  0.796
Pr  0.351  0.140  0.855
Pr  0.506  0.165  0.324
Pr  0.286  0.496  0.145
Pr  0.158  0.818  0.324
Pr  0.842  0.182  0.676
Pr  0.889  0.315  0.204
Pr  0.733  0.590  0.323
Pr  0.649  0.860  0.145
Pr  0.714  0.504  0.855
Pr  0.494  0.835  0.676
Ag  0.000  0.000  0.500
Ag  0.500  0.500  0.500
Co  0.500  0.000  0.000
Co  0.000  0.500  0.000

Properties
theoretical density: 5.92 g/cm3

#x
DFT (PBE-GGA) results for crystalline Pr6CoAg at its relaxed geometry.

Cell lengths 6.762, 7.315, 6.712 Å; angles 56.98, 80.41, 72.20 degrees
Fractional coordinates of all 8 atoms:
Pr  0.711  0.751  0.000
Pr  0.289  0.249  0.000
Pr  0.255  0.880  0.634
Pr  0.255  0.514  0.366
Pr  0.745  0.120  0.366
Pr  0.745  0.486  0.634
Co  0.500  0.500  0.000
Ag  0.000  0.000  0.000

Properties
theoretical density: 6.34 g/cm3

So which one is most stable? That would be #x, about 117 meV per atom below the next structure.

#w
DFT (PBE-GGA) results for crystalline Pr3CoAg at its relaxed geometry.

Cell lengths 5.330, 5.330, 5.330 Å; angles 90.00, 90.00, 90.00 degrees
Fractional coordinates of all 5 atoms:
Pr  0.500  0.000  0.000
Pr  0.000  0.500  0.000
Pr  0.000  0.000  0.500
Ag  0.500  0.500  0.500
Co  0.000  0.000  0.000

Properties
theoretical density: 6.47 g/cm3

#x
DFT (PBE-GGA) results for crystalline Pr3CoAg at its relaxed geometry.

Cell lengths 6.264, 6.264, 8.740 Å; angles 68.26, 68.26, 62.29 degrees
Fractional coordinates of all 10 atoms:
Pr  0.704  0.704  0.674
Pr  0.315  0.315  0.867
Pr  0.296  0.296  0.326
Pr  0.685  0.685  0.133
Pr  0.021  0.021  0.785
Pr  0.979  0.979  0.215
Co  0.321  0.679  0.000
Co  0.679  0.321  0.000
Ag  0.280  0.720  0.500
Ag  0.720  0.280  0.500

Properties
theoretical density: 7.15 g/cm3

#y
DFT (PBE-GGA) results for crystalline Pr3CoAg at its relaxed geometry.

Cell lengths 4.056, 8.418, 8.634 Å; angles 107.41, 90.00, 90.00 degrees
Fractional coordinates of all 10 atoms:
Pr  0.750  0.058  0.272
Pr  0.750  0.668  0.398
Pr  0.250  0.689  0.051
Pr  0.750  0.311  0.949
Pr  0.250  0.942  0.728
Pr  0.250  0.332  0.602
Ag  0.250  0.352  0.234
Ag  0.750  0.648  0.766
Co  0.250  0.905  0.391
Co  0.750  0.095  0.609

Properties
theoretical density: 6.96 g/cm3

So which one is most stable? That would be #x, about 14 meV per atom below the next structure.

#w
DFT (PBE-GGA) results for crystalline Pr6Co2Ag at its relaxed geometry.

Cell lengths 8.666, 8.666, 8.666 Å; angles 107.55, 108.46, 112.44 degrees
Fractional coordinates of all 18 atoms:
Pr  0.313  0.638  0.325
Pr  0.801  0.771  0.572
Pr  0.687  0.011  0.325
Pr  0.313  0.989  0.675
Pr  0.199  0.771  0.971
Pr  0.687  0.362  0.675
Pr  0.535  0.714  0.820
Pr  0.199  0.229  0.428
Pr  0.801  0.229  0.029
Pr  0.465  0.286  0.180
Pr  0.106  0.286  0.820
Pr  0.894  0.714  0.180
Co  0.341  0.000  0.341
Co  0.500  0.387  0.887
Co  0.500  0.613  0.113
Co  0.659  0.000  0.659
Ag  0.000  0.500  0.500
Ag  0.000  0.000  0.000

Properties
theoretical density: 7.12 g/cm3

#x
DFT (PBE-GGA) results for crystalline Pr6Co2Ag at its relaxed geometry.

Cell lengths 5.303, 5.734, 9.060 Å; angles 81.51, 90.00, 117.54 degrees
Fractional coordinates of all 9 atoms:
Pr  0.344  0.687  0.385
Pr  0.961  0.923  0.842
Pr  0.710  0.420  0.160
Pr  0.290  0.580  0.840
Pr  0.039  0.077  0.158
Pr  0.656  0.313  0.615
Co  0.392  0.784  0.094
Co  0.608  0.216  0.906
Ag  0.000  0.000  0.500

Properties
theoretical density: 7.38 g/cm3

So which one is most stable? That would be #w, about 72 meV per atom below the next structure.

#w
DFT (PBE-GGA) results for crystalline Co3AgPt at its relaxed geometry.

Cell lengths 4.536, 4.536, 4.536 Å; angles 90.00, 90.00, 90.00 degrees
Fractional coordinates of all 5 atoms:
Co  0.500  0.000  0.000
Co  0.000  0.000  0.500
Co  0.000  0.500  0.000
Ag  0.000  0.000  0.000
Pt  0.500  0.500  0.500

Properties
theoretical density: 8.53 g/cm3

#x
DFT (PBE-GGA) results for crystalline Co3AgPt at its relaxed geometry.

Cell lengths 4.619, 4.619, 4.619 Å; angles 90.00, 90.00, 90.00 degrees
Fractional coordinates of all 5 atoms:
Ag  0.500  0.500  0.500
Co  0.000  0.000  0.500
Co  0.000  0.500  0.000
Co  0.500  0.000  0.000
Pt  0.000  0.000  0.000

Properties
theoretical density: 8.08 g/cm3

So which one is most stable? That would be #x, about 566 meV per atom below the next structure.

#w
DFT (PBE-GGA) results for crystalline Co2AgPt2 at its relaxed geometry.

Cell lengths 3.857, 3.857, 5.993 Å; angles 71.23, 71.23, 90.00 degrees
Fractional coordinates of all 5 atoms:
Co  0.401  0.401  0.198
Co  0.599  0.599  0.802
Pt  0.250  0.750  0.500
Pt  0.750  0.250  0.500
Ag  0.000  0.000  0.000

Properties
theoretical density: 12.88 g/cm3

#x
DFT (PBE-GGA) results for crystalline Co2AgPt2 at its relaxed geometry.

Cell lengths 7.393, 7.393, 2.712 Å; angles 90.00, 90.00, 90.00 degrees
Fractional coordinates of all 10 atoms:
Co  0.617  0.117  0.000
Co  0.117  0.383  0.000
Co  0.883  0.617  0.000
Co  0.383  0.883  0.000
Pt  0.824  0.324  0.500
Pt  0.676  0.824  0.500
Pt  0.324  0.176  0.500
Pt  0.176  0.676  0.500
Ag  0.500  0.500  0.000
Ag  0.000  0.000  0.000

Properties
theoretical density: 13.80 g/cm3

So which one is most stable? That would be #x, about 220 meV per atom below the next structure.

#w
DFT (PBE-GGA) results for crystalline CoAg2Pt at its relaxed geometry.

Cell lengths 2.806, 2.806, 7.936 Å; angles 90.00, 90.00, 90.00 degrees
Fractional coordinates of all 4 atoms:
Pt  0.500  0.500  0.722
Ag  0.000  0.000  0.994
Ag  0.500  0.500  0.270
Co  0.000  0.000  0.515

Properties
theoretical density: 12.48 g/cm3

#x
DFT (PBE-GGA) results for crystalline CoAg2Pt at its relaxed geometry.

Cell lengths 5.032, 5.032, 5.032 Å; angles 134.94, 134.94, 65.62 degrees
Fractional coordinates of all 4 atoms:
Pt  0.750  0.250  0.500
Ag  0.000  0.000  0.000
Ag  0.500  0.500  0.000
Co  0.250  0.750  0.500

Properties
theoretical density: 12.41 g/cm3

#y
DFT (PBE-GGA) results for crystalline CoAg2Pt at its relaxed geometry.

Cell lengths 4.589, 4.589, 3.017 Å; angles 90.00, 90.00, 90.00 degrees
Fractional coordinates of all 4 atoms:
Pt  0.000  0.500  0.500
Co  0.500  0.000  0.500
Ag  0.000  0.000  0.000
Ag  0.500  0.500  0.000

Properties
theoretical density: 12.28 g/cm3

#z
DFT (PBE-GGA) results for crystalline CoAg2Pt at its relaxed geometry.

Cell lengths 5.464, 5.464, 5.464 Å; angles 149.84, 128.34, 60.99 degrees
Fractional coordinates of all 4 atoms:
Ag  0.006  0.006  0.000
Ag  0.735  0.235  0.500
Pt  0.271  0.771  0.500
Co  0.489  0.489  0.000

Properties
theoretical density: 12.24 g/cm3

So which one is most stable? That would be #w, about 148 meV per atom below the next structure.

#w
DFT (PBE-GGA) results for crystalline CoAg2Pt at its relaxed geometry.

Cell lengths 4.218, 3.857, 3.857 Å; angles 90.00, 90.00, 90.00 degrees
Fractional coordinates of all 4 atoms:
Ag  0.000  0.000  0.000
Ag  0.000  0.500  0.500
Co  0.500  0.500  0.000
Pt  0.500  0.000  0.500

Properties
theoretical density: 12.43 g/cm3

#x
DFT (PBE-GGA) results for crystalline CoAg2Pt at its relaxed geometry.

Cell lengths 7.257, 7.257, 5.761 Å; angles 50.96, 50.96, 90.00 degrees
Fractional coordinates of all 8 atoms:
Ag  0.144  0.625  0.250
Ag  0.875  0.856  0.750
Ag  0.606  0.125  0.250
Ag  0.375  0.394  0.750
Co  0.500  0.500  0.000
Co  0.250  0.750  0.500
Pt  0.000  0.000  0.000
Pt  0.750  0.250  0.500

Properties
theoretical density: 11.32 g/cm3

So which one is most stable? That would be #w, about 341 meV per atom below the next structure.

#w
DFT (PBE-GGA) results for crystalline CoAg2Pt at its relaxed geometry.

Cell lengths 4.779, 4.779, 4.779 Å; angles 130.04, 130.04, 73.35 degrees
Fractional coordinates of all 4 atoms:
Co  0.500  0.500  0.000
Ag  0.000  0.000  0.000
Ag  0.250  0.750  0.500
Pt  0.750  0.250  0.500

Properties
theoretical density: 12.49 g/cm3

#x
DFT (PBE-GGA) results for crystalline CoAg2Pt at its relaxed geometry.

Cell lengths 2.774, 4.152, 5.455 Å; angles 90.00, 90.00, 90.00 degrees
Fractional coordinates of all 4 atoms:
Co  0.500  0.500  0.250
Ag  0.000  0.000  0.005
Ag  0.000  0.000  0.495
Pt  0.500  0.500  0.750

Properties
theoretical density: 12.42 g/cm3

#y
DFT (PBE-GGA) results for crystalline CoAg2Pt at its relaxed geometry.

Cell lengths 9.442, 9.442, 9.442 Å; angles 16.93, 16.93, 16.93 degrees
Fractional coordinates of all 4 atoms:
Ag  0.503  0.503  0.503
Ag  0.997  0.997  0.997
Pt  0.750  0.750  0.750
Co  0.250  0.250  0.250

Properties
theoretical density: 12.53 g/cm3

#z
DFT (PBE-GGA) results for crystalline CoAg2Pt at its relaxed geometry.

Cell lengths 3.632, 2.810, 6.830 Å; angles 65.71, 90.00, 90.00 degrees
Fractional coordinates of all 4 atoms:
Pt  0.500  0.787  0.714
Ag  0.500  0.235  0.264
Ag  0.000  0.008  0.992
Co  0.000  0.470  0.530

Properties
theoretical density: 12.28 g/cm3

So which one is most stable? That would be #z, about 57 meV per atom below the next structure.

#w
DFT (PBE-GGA) results for crystalline CoAgPt3 at its relaxed geometry.

Cell lengths 4.576, 4.576, 4.576 Å; angles 90.00, 90.00, 90.00 degrees
Fractional coordinates of all 5 atoms:
Ag  0.500  0.500  0.500
Pt  0.000  0.000  0.500
Pt  0.000  0.500  0.000
Pt  0.500  0.000  0.000
Co  0.000  0.000  0.000

Properties
theoretical density: 13.04 g/cm3

#x
DFT (PBE-GGA) results for crystalline CoAgPt3 at its relaxed geometry.

Cell lengths 4.852, 4.852, 4.852 Å; angles 90.00, 90.00, 90.00 degrees
Fractional coordinates of all 5 atoms:
Pt  0.500  0.000  0.000
Pt  0.000  0.000  0.500
Pt  0.000  0.500  0.000
Ag  0.000  0.000  0.000
Co  0.500  0.500  0.500

Properties
theoretical density: 10.93 g/cm3

So which one is most stable? That would be #w, about 1013 meV per atom below the next structure.

#w
DFT (PBE-GGA) results for crystalline CoRe2Ag at its relaxed geometry.

Cell lengths 2.644, 2.644, 8.233 Å; angles 90.00, 90.00, 90.06 degrees
Fractional coordinates of all 4 atoms:
Re  0.000  0.000  0.528
Re  0.000  0.000  0.972
Ag  0.500  0.500  0.250
Co  0.500  0.500  0.750

Properties
theoretical density: 15.56 g/cm3

#x
DFT (PBE-GGA) results for crystalline CoRe2Ag at its relaxed geometry.

Cell lengths 2.711, 2.711, 7.896 Å; angles 90.00, 90.00, 90.00 degrees
Fractional coordinates of all 4 atoms:
Co  0.500  0.500  0.772
Re  0.000  0.000  0.976
Re  0.500  0.500  0.236
Ag  0.000  0.000  0.516

Properties
theoretical density: 15.43 g/cm3

#y
DFT (PBE-GGA) results for crystalline CoRe2Ag at its relaxed geometry.

Cell lengths 5.603, 5.603, 5.603 Å; angles 151.95, 133.19, 55.46 degrees
Fractional coordinates of all 4 atoms:
Re  0.461  0.461  0.000
Re  0.039  0.039  0.000
Ag  0.750  0.250  0.500
Co  0.250  0.750  0.500

Properties
theoretical density: 14.94 g/cm3

So which one is most stable? That would be #x, about 56 meV per atom below the next structure.